[1]
Crystalline Tb3Bi2Pb at its relaxed geometry. Source: Alexandria, functional PBE.

## Properties
calculated formation energy = -0.701 eV per atom
DFT total energy = -4.93 eV/atom

Cell: 7.8080 7.8080 7.6493 Å, 99.74 99.74 119.58°
Closest atoms and distances in Å follow each position.
Fractional positions:
Tb1 0.0000 0.5000 0.5000  2 Pb 3.16, 4 Bi 3.17
Tb2 0.1662 0.3335 0.0025  4 Bi 3.15-3.18, 2 Pb 3.17-3.19
Tb3 0.3335 0.1662 0.5025  4 Bi 3.15-3.18, 2 Pb 3.17-3.19
Tb4 0.5000 0.0000 0.0000  2 Pb 3.16, 4 Bi 3.17
Tb5 0.6665 0.8338 0.4975  4 Bi 3.15-3.18, 2 Pb 3.17-3.19
Tb6 0.8338 0.6665 0.9975  4 Bi 3.15-3.18, 2 Pb 3.17-3.19
Bi1 0.0831 0.9169 0.7500  6 Tb 3.15-3.18
Bi2 0.2489 0.7511 0.2500  6 Tb 3.16-3.17
Bi3 0.7511 0.2489 0.7500  6 Tb 3.16-3.17
Bi4 0.9169 0.0831 0.2500  6 Tb 3.15-3.18
Pb1 0.4161 0.5839 0.7500  6 Tb 3.16-3.19
Pb2 0.5839 0.4161 0.2500  6 Tb 3.16-3.19



[2]
Crystalline Sr2Ga4Ge3Pd at its relaxed geometry. Source: Alexandria, functional PBE.

## Properties
calculated formation energy = -0.430 eV per atom
DFT total energy = -3.88 eV/atom

Cell: 4.5823 4.5823 10.4456 Å, 90.00 90.00 90.00°
Closest atoms and distances in Å follow each position.
Fractional positions:
Sr1 0.0000 0.5000 0.2407  6 Ge 3.40-3.50, 2 Pd 3.40, 9 Ga 3.48-3.75
Sr2 0.5000 0.0000 0.7593  6 Ge 3.40-3.50, 2 Pd 3.40, 9 Ga 3.48-3.75
Ga1 0.0000 0.0000 0.5000  4 Ge 2.68
Ga2 0.0000 0.5000 0.8820  3 Ge 2.60, 2 Pd 2.60
Ga3 0.5000 0.0000 0.1180  3 Ge 2.60, 2 Pd 2.60
Ga4 0.5000 0.5000 0.5000  4 Ge 2.68
Ge1 0.0000 0.0000 0.0000  4 Ga 2.60
Ge2 0.0000 0.5000 0.6330  5 Ga 2.60-2.68
Ge3 0.5000 0.0000 0.3670  5 Ga 2.60-2.68
Pd1 0.5000 0.5000 0.0000  4 Ga 2.60



[3]
Crystalline La2Dy6Y3Tm at its relaxed geometry. Source: Alexandria, functional PBE.

## Properties
calculated formation energy = 0.023 eV per atom
DFT total energy = -5.09 eV/atom

Cell: 6.2024 6.2024 11.8644 Å, 94.99 94.99 119.99°
Closest atoms and distances in Å follow each position.
Fractional positions:
La1 0.1663 0.8337 0.0000  3 La 3.57-3.58, 3 Tm 3.58, 6 Dy 3.61
La2 0.8337 0.1663 0.0000  3 La 3.57-3.58, 3 Tm 3.58, 6 Dy 3.61
Dy1 0.0836 0.4153 0.7472  3 Y 3.55-3.56, 6 Dy 3.56-3.59, 1 Tm 3.60, 2 La 3.61
Dy2 0.2531 0.2531 0.2531  3 Y 3.54-3.56, 6 Dy 3.56-3.59, 1 Tm 3.60, 2 La 3.61
Dy3 0.4153 0.0836 0.7472  3 Y 3.55-3.56, 6 Dy 3.56-3.59, 1 Tm 3.60, 2 La 3.61
Dy4 0.5847 0.9164 0.2528  3 Y 3.55-3.56, 6 Dy 3.56-3.59, 1 Tm 3.60, 2 La 3.61
Dy5 0.7469 0.7469 0.7469  3 Y 3.54-3.56, 6 Dy 3.56-3.59, 1 Tm 3.60, 2 La 3.61
Dy6 0.9164 0.5847 0.2528  3 Y 3.55-3.56, 6 Dy 3.56-3.59, 1 Tm 3.60, 2 La 3.61
Y1 0.0000 0.0000 0.5000  6 Dy 3.55-3.56, 6 Y 3.58-3.59
Y2 0.3337 0.6663 0.5000  6 Dy 3.54-3.56, 6 Y 3.57-3.59
Y3 0.6663 0.3337 0.5000  6 Dy 3.54-3.56, 6 Y 3.57-3.59
Tm1 0.5000 0.5000 0.0000  6 La 3.58, 6 Dy 3.60



[4]
Crystalline MgNbMo2Os at its relaxed geometry. Source: Alexandria, functional PBE.

## Properties
calculated formation energy = 1.416 eV per atom
DFT total energy = -7.49 eV/atom

Cell: 4.7539 4.7539 4.6420 Å, 90.00 90.00 90.00°
Closest atoms and distances in Å follow each position.
Fractional positions:
Mg1 0.0000 0.0000 0.0000  2 Os 2.32
Nb1 0.5000 0.5000 0.0000  8 Mo 3.32, 4 Mg 3.36
Mo1 0.0000 0.5000 0.5000  2 Os 2.38
Mo2 0.5000 0.0000 0.5000  2 Os 2.38
Os1 0.0000 0.0000 0.5000  2 Mg 2.32, 4 Mo 2.38



[5]
Crystalline MgCdSnCl6 at its relaxed geometry. Source: Alexandria, functional PBE.

## Properties
formation energy without anion corrections = -11.64 eV/f.u.
DFT total energy = -3.25 eV/atom

Cell: 6.6718 6.6718 12.3866 Å, 90.00 90.00 120.00°
Closest atoms and distances in Å follow each position.
Fractional positions:
Mg1 0.3333 0.6667 0.2500  6 Cl 2.53
Mg2 0.6667 0.3333 0.7500  6 Cl 2.53
Cd1 0.3333 0.6667 0.7500  6 Cl 2.66
Cd2 0.6667 0.3333 0.2500  6 Cl 2.66
Sn1 0.0000 0.0000 0.0000  6 Cl 2.89
Sn2 0.0000 0.0000 0.5000  6 Cl 2.89
Cl1 0.0146 0.3631 0.1330  1 Mg 2.53, 1 Cd 2.66
Cl2 0.0146 0.6515 0.3670  1 Mg 2.53, 1 Cd 2.66
Cl3 0.3485 0.3631 0.3670  1 Mg 2.53, 1 Cd 2.66
Cl4 0.3485 0.9854 0.1330  1 Mg 2.53, 1 Cd 2.66
Cl5 0.3631 0.0146 0.6330  1 Mg 2.53, 1 Cd 2.66
Cl6 0.3631 0.3485 0.8670  1 Mg 2.53, 1 Cd 2.66
Cl7 0.6369 0.6515 0.1330  1 Mg 2.53, 1 Cd 2.66
Cl8 0.6369 0.9854 0.3670  1 Mg 2.53, 1 Cd 2.66
Cl9 0.6515 0.0146 0.8670  1 Mg 2.53, 1 Cd 2.66
Cl10 0.6515 0.6369 0.6330  1 Mg 2.53, 1 Cd 2.66
Cl11 0.9854 0.3485 0.6330  1 Mg 2.53, 1 Cd 2.66
Cl12 0.9854 0.6369 0.8670  1 Mg 2.53, 1 Cd 2.66



[6]
Crystalline CuIrI2O at its relaxed geometry. Source: Alexandria, functional PBE.

## Properties
formation energy without anion corrections = 1.05 eV/f.u.
DFT total energy = -3.99 eV/atom

Cell: 5.6021 5.6021 3.7356 Å, 90.00 90.00 90.00°
Closest atoms and distances in Å follow each position.
Fractional positions:
Cu1 0.0000 0.0000 0.0000  8 I 3.37, 2 Cu 3.74
Ir1 0.5000 0.5000 0.5000  2 O 1.87
I1 0.0000 0.5000 0.5000  2 Ir 2.80
I2 0.5000 0.0000 0.5000  2 Ir 2.80
O1 0.5000 0.5000 0.0000  2 Ir 1.87



[7]
Crystalline LiSc2ReC at its relaxed geometry. Source: Alexandria, functional PBE.

## Properties
calculated formation energy = -0.158 eV per atom
DFT total energy = -7.41 eV/atom

Cell: 4.6145 4.6145 3.9639 Å, 90.00 90.00 90.00°
Closest atoms and distances in Å follow each position.
Fractional positions:
Li1 0.0000 0.0000 0.0000  8 Sc 3.04, 4 Re 3.26
Sc1 0.0000 0.5000 0.5000  2 C 2.31
Sc2 0.5000 0.0000 0.5000  2 C 2.31
Re1 0.5000 0.5000 0.0000  2 C 1.98
C1 0.5000 0.5000 0.5000  2 Re 1.98



[8]
Crystalline Cr2Rh at its relaxed geometry. Source: Alexandria, functional PBE.

## Properties
calculated formation energy = 0.760 eV per atom
DFT total energy = -8.11 eV/atom

Cell: 4.1468 4.1468 4.1468 Å, 60.00 60.00 60.00°
Closest atoms and distances in Å follow each position.
Fractional positions:
Cr1 0.2500 0.2500 0.2500  4 Rh 2.54
Cr2 0.7500 0.7500 0.7500  4 Rh 2.54
Rh1 0.0000 0.0000 0.0000  8 Cr 2.54



[9]
Crystalline MoSe4 at its relaxed geometry. Source: Alexandria, functional PBE.

## Properties
formation energy without anion corrections = 1.98 eV/f.u.
DFT total energy = -4.56 eV/atom

Cell: 5.3128 5.3128 5.3128 Å, 109.47 109.47 109.47°
Closest atoms and distances in Å follow each position.
Fractional positions:
Mo1 0.0000 0.0000 0.0000  8 Se 2.66
Se1 0.0000 0.0000 0.5000  2 Mo 2.66
Se2 0.0000 0.5000 0.0000  2 Mo 2.66
Se3 0.5000 0.0000 0.0000  2 Mo 2.66
Se4 0.5000 0.5000 0.5000  2 Mo 2.66



[10]
Crystalline Pm2PrTlHg4 at its relaxed geometry. Source: Alexandria, functional PBE.

## Properties
calculated formation energy = -0.403 eV per atom
DFT total energy = -2.63 eV/atom

Cell: 9.6079 9.6079 9.6079 Å, 31.92 31.92 31.92°
Closest atoms and distances in Å follow each position.
Fractional positions:
Pm1 0.2397 0.2397 0.2397  7 Hg 3.13-3.41
Pm2 0.7603 0.7603 0.7603  7 Hg 3.13-3.41
Pr1 0.0000 0.0000 0.0000  8 Hg 3.22-3.28
Tl1 0.5000 0.5000 0.5000  8 Hg 3.31-3.52, 6 Pm 3.64
Hg1 0.1198 0.1198 0.1198  4 Pm 3.13-3.27, 1 Pr 3.28, 3 Tl 3.31
Hg2 0.3712 0.3712 0.3712  3 Pr 3.22, 4 Pm 3.41-3.60, 1 Tl 3.52
Hg3 0.6288 0.6288 0.6288  3 Pr 3.22, 4 Pm 3.41-3.60, 1 Tl 3.52
Hg4 0.8802 0.8802 0.8802  4 Pm 3.13-3.27, 1 Pr 3.28, 3 Tl 3.31



[11]
Crystalline Ac2Cd3Ag12Pd at its relaxed geometry. Source: Alexandria, functional PBE.

## Properties
calculated formation energy = 0.068 eV per atom
DFT total energy = -2.73 eV/atom

Cell: 10.9252 10.9252 10.9252 Å, 37.33 37.33 37.33°
Closest atoms and distances in Å follow each position.
Fractional positions:
Ac1 0.1500 0.1500 0.1500  6 Ag 3.39
Ac2 0.8500 0.8500 0.8500  6 Ag 3.39
Cd1 0.0000 0.5000 0.5000  6 Ag 2.76-3.07
Cd2 0.5000 0.0000 0.5000  6 Ag 2.76-3.07
Cd3 0.5000 0.5000 0.0000  6 Ag 2.76-3.07
Ag1 0.0791 0.0791 0.6862  4 Ag 2.75-2.79, 2 Cd 2.76
Ag2 0.0791 0.6862 0.0791  4 Ag 2.75-2.79, 2 Cd 2.76
Ag3 0.1405 0.5803 0.5803  1 Pd 2.69, 2 Ag 2.79
Ag4 0.3138 0.9209 0.9209  4 Ag 2.75-2.79, 2 Cd 2.76
Ag5 0.4197 0.4197 0.8595  1 Pd 2.69, 2 Ag 2.79
Ag6 0.4197 0.8595 0.4197  1 Pd 2.69, 2 Ag 2.79
Ag7 0.5803 0.1405 0.5803  1 Pd 2.69, 2 Ag 2.79
Ag8 0.5803 0.5803 0.1405  1 Pd 2.69, 2 Ag 2.79
Ag9 0.6862 0.0791 0.0791  4 Ag 2.75-2.79, 2 Cd 2.76
Ag10 0.8595 0.4197 0.4197  1 Pd 2.69, 2 Ag 2.79
Ag11 0.9209 0.3138 0.9209  4 Ag 2.75-2.79, 2 Cd 2.76
Ag12 0.9209 0.9209 0.3138  4 Ag 2.75-2.79, 2 Cd 2.76
Pd1 0.5000 0.5000 0.5000  6 Ag 2.69



[12]
Crystalline NpNiPdPt at its relaxed geometry. Source: Alexandria, functional PBE.

## Properties
calculated formation energy = -0.209 eV per atom
DFT total energy = -7.70 eV/atom

Cell: 4.6018 4.6018 4.6018 Å, 60.00 60.00 60.00°
Closest atoms and distances in Å follow each position.
Fractional positions:
Np1 0.0000 0.0000 0.0000  4 Pt 2.82, 4 Ni 2.82
Ni1 0.2500 0.2500 0.2500  4 Pd 2.82, 4 Np 2.82
Pd1 0.5000 0.5000 0.5000  4 Ni 2.82, 4 Pt 2.82
Pt1 0.7500 0.7500 0.7500  4 Pd 2.82, 4 Np 2.82



[13]
Crystalline LaPm5Mg3 at its relaxed geometry. Source: Alexandria, functional PBE.

## Properties
calculated formation energy = 0.010 eV per atom
DFT total energy = -3.71 eV/atom

Cell: 9.6311 9.6311 7.1095 Å, 90.00 90.00 120.00°
Closest atoms and distances in Å follow each position.
Fractional positions:
La1 0.0000 0.0000 0.0000  2 La 3.55, 6 Pm 3.68, 6 Mg 3.69
La2 0.0000 0.0000 0.5000  2 La 3.55, 6 Pm 3.68, 6 Mg 3.69
Pm1 0.0000 0.3342 0.2500  5 Mg 3.18-3.55
Pm2 0.0000 0.6658 0.7500  5 Mg 3.18-3.55
Pm3 0.3333 0.6667 0.0000  8 Pm 3.55-3.67, 6 Mg 3.66
Pm4 0.3333 0.6667 0.5000  8 Pm 3.55-3.67, 6 Mg 3.66
Pm5 0.3342 0.0000 0.2500  5 Mg 3.18-3.55
Pm6 0.3342 0.3342 0.7500  5 Mg 3.18-3.55
Pm7 0.6658 0.0000 0.7500  5 Mg 3.18-3.55
Pm8 0.6658 0.6658 0.2500  5 Mg 3.18-3.55
Pm9 0.6667 0.3333 0.0000  8 Pm 3.55-3.67, 6 Mg 3.66
Pm10 0.6667 0.3333 0.5000  8 Pm 3.55-3.67, 6 Mg 3.66
Mg1 0.0000 0.3360 0.7500  5 Pm 3.18-3.55
Mg2 0.0000 0.6640 0.2500  5 Pm 3.18-3.55
Mg3 0.3360 0.0000 0.7500  5 Pm 3.18-3.55
Mg4 0.3360 0.3360 0.2500  5 Pm 3.18-3.55
Mg5 0.6640 0.0000 0.2500  5 Pm 3.18-3.55
Mg6 0.6640 0.6640 0.7500  5 Pm 3.18-3.55



[14]
Crystalline Li2CeYSe4 at its relaxed geometry. Source: Alexandria, functional PBE.

## Properties
formation energy without anion corrections = -13.17 eV/f.u.
DFT total energy = -5.42 eV/atom

Cell: 6.9258 4.1446 7.1779 Å, 90.00 110.18 90.00°
Closest atoms and distances in Å follow each position.
Fractional positions:
Li1 0.0000 0.0000 0.0000  6 Se 2.84
Li2 0.0000 0.5000 0.5000  6 Se 2.89-2.90
Ce1 0.5000 0.0000 0.5000  6 Se 2.94-2.95
Y1 0.5000 0.5000 0.0000  6 Se 2.88-2.89
Se1 0.2417 0.5000 0.2403  3 Li 2.84-2.90, 1 Y 2.88, 2 Ce 2.94
Se2 0.2449 0.0000 0.7547  3 Li 2.84-2.89, 2 Y 2.89, 1 Ce 2.95
Se3 0.7551 0.0000 0.2453  3 Li 2.84-2.89, 2 Y 2.89, 1 Ce 2.95
Se4 0.7583 0.5000 0.7597  3 Li 2.84-2.90, 1 Y 2.88, 2 Ce 2.94



[15]
Crystalline PmCo2C at its relaxed geometry. Source: Alexandria, functional PBE.

## Properties
calculated formation energy = -0.063 eV per atom
DFT total energy = -7.11 eV/atom

Cell: 5.8794 3.7177 9.7860 Å, 90.00 90.00 90.00°
Closest atoms and distances in Å follow each position.
Fractional positions:
Pm1 0.1340 0.2500 0.1206  7 Co 2.72-3.04, 2 C 2.86
Pm2 0.3660 0.7500 0.6206  7 Co 2.72-3.04, 2 C 2.86
Pm3 0.6340 0.2500 0.3794  7 Co 2.72-3.04, 2 C 2.86
Pm4 0.8660 0.7500 0.8794  7 Co 2.72-3.04, 2 C 2.86
Co1 0.0955 0.2500 0.4356  3 C 1.96-2.03
Co2 0.1965 0.2500 0.7960  2 C 1.92-2.03
Co3 0.3035 0.7500 0.2960  2 C 1.92-2.03
Co4 0.4045 0.7500 0.9356  3 C 1.96-2.03
Co5 0.5955 0.2500 0.0644  3 C 1.96-2.03
Co6 0.6965 0.2500 0.7040  2 C 1.92-2.03
Co7 0.8035 0.7500 0.2040  2 C 1.92-2.03
Co8 0.9045 0.7500 0.5644  3 C 1.96-2.03
C1 0.0032 0.7500 0.3728  5 Co 1.92-2.03
C2 0.4968 0.2500 0.8728  5 Co 1.92-2.03
C3 0.5032 0.7500 0.1272  5 Co 1.92-2.03
C4 0.9968 0.2500 0.6272  5 Co 1.92-2.03



[16]
Crystalline SrTeSe at its relaxed geometry. Source: Alexandria, functional PBE.

## Properties
formation energy without anion corrections = -3.34 eV/f.u.
DFT total energy = -3.88 eV/atom

Cell: 6.4274 6.4274 6.4274 Å, 140.73 140.73 56.75°
Closest atoms and distances in Å follow each position.
Fractional positions:
Sr1 0.0000 0.0000 0.0000  4 Se 3.25, 4 Te 3.42
Te1 0.3646 0.3646 0.0000  1 Se 2.65
Se1 0.5984 0.5984 0.0000  1 Te 2.65



[17]
Crystalline NaZr2I8 at its relaxed geometry. Source: Alexandria, functional PBE.

## Properties
formation energy without anion corrections = -9.34 eV/f.u.
DFT total energy = -3.65 eV/atom

Cell: 9.3129 9.3129 7.6222 Å, 92.72 92.72 71.87°
Closest atoms and distances in Å follow each position.
Fractional positions:
Na1 0.0000 0.0000 0.0000  6 I 3.24-3.37
Zr1 0.1914 0.1914 0.6456  4 I 2.71-2.75
Zr2 0.8086 0.8086 0.3544  4 I 2.71-2.75
I1 0.0955 0.6968 0.2270  1 Zr 2.75
I2 0.1792 0.1792 0.2853  1 Zr 2.74
I3 0.3032 0.9045 0.7730  1 Zr 2.75
I4 0.3635 0.3635 0.7712  1 Zr 2.71
I5 0.6365 0.6365 0.2288  1 Zr 2.71
I6 0.6968 0.0955 0.2270  1 Zr 2.75
I7 0.8208 0.8208 0.7147  1 Zr 2.74
I8 0.9045 0.3032 0.7730  1 Zr 2.75



[18]
Crystalline YBiCl at its relaxed geometry. Source: Alexandria, functional PBE.

## Properties
formation energy without anion corrections = -3.05 eV/f.u.
DFT total energy = -5.08 eV/atom

Cell: 4.9657 4.9657 3.7343 Å, 90.00 90.00 120.00°
Closest atoms and distances in Å follow each position.
Fractional positions:
Y1 0.0000 0.0000 0.0000  3 Cl 2.87
Bi1 0.6667 0.3333 0.5000  6 Y 3.42, 6 Cl 3.42, 2 Bi 3.73
Cl1 0.3333 0.6667 0.0000  3 Y 2.87



[19]
Crystalline Y5Ge2O12 at its relaxed geometry. Source: Alexandria, functional PBE.

## Properties
formation energy without anion corrections = -54.71 eV/f.u.
DFT total energy = -8.20 eV/atom

Cell: 6.8171 6.8171 7.2866 Å, 105.51 105.51 50.28°
Closest atoms and distances in Å follow each position.
Fractional positions:
Y1 0.0000 0.0000 0.0000  6 O 2.31-2.34
Y2 0.3055 0.3055 0.1424  7 O 2.31-2.38
Y3 0.3062 0.3062 0.6643  7 O 2.29-2.40
Y4 0.6938 0.6938 0.3357  7 O 2.29-2.40
Y5 0.6945 0.6945 0.8576  7 O 2.31-2.38
Ge1 0.2453 0.7547 0.5000  6 O 1.89-1.97
Ge2 0.7547 0.2453 0.5000  6 O 1.89-1.97
O1 0.9999 0.9999 0.3213  2 Ge 1.93
O2 0.0001 0.0001 0.6787  2 Ge 1.93
O3 0.0964 0.5976 0.9245  4 Y 2.31-2.32
O4 0.1000 0.5804 0.4195  1 Ge 1.89
O5 0.4024 0.9036 0.0755  4 Y 2.31-2.32
O6 0.4196 0.9000 0.5805  1 Ge 1.89
O7 0.5005 0.5005 0.3202  2 Ge 1.97
O8 0.4995 0.4995 0.6798  2 Ge 1.97
O9 0.5804 0.1000 0.4195  1 Ge 1.89
O10 0.5976 0.0964 0.9245  4 Y 2.31-2.32
O11 0.9000 0.4196 0.5805  1 Ge 1.89
O12 0.9036 0.4024 0.0755  4 Y 2.31-2.32



[20]
Crystalline Pa2SnPd at its relaxed geometry. Source: Alexandria, functional PBE.

## Properties
calculated formation energy = -0.329 eV per atom
DFT total energy = -7.38 eV/atom

Cell: 4.3476 4.3476 4.7187 Å, 90.00 90.00 90.00°
Closest atoms and distances in Å follow each position.
Fractional positions:
Pa1 0.0000 0.5000 0.0000  4 Pa 3.07, 4 Sn 3.21, 4 Pd 3.21
Pa2 0.5000 0.0000 0.0000  4 Pa 3.07, 4 Sn 3.21, 4 Pd 3.21
Sn1 0.0000 0.0000 0.5000  4 Pd 3.07, 8 Pa 3.21
Pd1 0.5000 0.5000 0.5000  4 Sn 3.07, 8 Pa 3.21